*1*
Entry from Alexandria: a relaxed MoF5 crystal (PBEsol).

Geometry as POSCAR:
```
MoF5
1.0
5.312 -0.036 -0.053
-0.257 8.603 -0.036
-0.257 -3.166 7.999
F Mo
20 4
direct
0.116 0.591 0.176
0.350 0.535 0.719
0.876 0.228 0.026
0.116 0.176 0.591
0.124 0.974 0.772
0.302 0.915 0.281
0.475 0.139 0.139
0.085 0.326 0.326
0.915 0.674 0.674
0.698 0.085 0.719
0.350 0.719 0.535
0.698 0.719 0.085
0.525 0.861 0.861
0.124 0.772 0.974
0.884 0.409 0.824
0.302 0.281 0.915
0.876 0.026 0.228
0.650 0.465 0.281
0.650 0.281 0.465
0.884 0.824 0.409
0.000 0.202 0.798
0.756 0.258 0.258
0.244 0.742 0.742
0.000 0.798 0.202
```

## Properties
Crystal system ... monoclinic
Density ... 3.48 g/cm3

=====

*2*
Entry from Alexandria: a relaxed MoF5 crystal (PBEsol).

Geometry as POSCAR:
```
MoF5
1.0
-4.479 -0.448 2.951
-0.680 -1.491 -5.127
4.871 -5.762 1.651
F Mo
10 2
direct
0.123 0.791 0.483
0.877 0.209 0.517
0.808 0.640 0.017
0.488 0.685 0.376
0.677 0.927 0.750
0.192 0.360 0.983
0.512 0.315 0.624
0.810 0.112 0.124
0.323 0.073 0.250
0.190 0.888 0.876
0.500 0.000 0.500
0.000 0.000 0.000
```

## Properties
Crystal system ... monoclinic
Density ... 3.39 g/cm3

=====

*3*
Entry from Alexandria: a relaxed MoF5 crystal (PBEsol).

Geometry as POSCAR:
```
MoF5
1.0
3.599 0.000 0.000
0.000 4.423 0.000
-1.799 -2.212 4.678
Mo F
1 5
direct
0.000 0.000 0.000
0.197 0.197 0.393
0.803 0.803 0.607
0.500 0.769 0.000
0.500 0.231 0.000
0.000 0.500 0.000
```

## Properties
Crystal system ... orthorhombic
Density ... 4.26 g/cm3

=====

Stability summary: most stable *1*, least stable *3*.